<one>
## Zr5Hg (meta-GGA SCAN)

Data for Zr5Hg at its PBEsol-relaxed geometry.

Unit cell a=4.3333 b=4.3921 c=7.1125 alpha=72.02 beta=90.00 gamma=90.00
Positions (direct):
Zr1 0.5000 0.6650 0.6700
Zr2 0.0000 0.8339 0.3322
Zr3 0.5000 0.3350 0.3300
Zr4 0.5000 0.0000 0.0000
Zr5 0.0000 0.1661 0.6678
Hg1 0.0000 0.5000 0.0000

Calculated values
The total magnetization is 0.00 μB/f.u.

<two>
## Zr5Hg (meta-GGA SCAN)

Data for Zr5Hg at its PBEsol-relaxed geometry.

Unit cell a=3.1332 b=5.1385 c=8.2284 alpha=90.00 beta=100.98 gamma=90.00
Positions (direct):
Hg1 0.0027 0.0000 0.0054
Zr1 0.3427 0.0000 0.6854
Zr2 0.5478 0.5000 0.0956
Zr3 0.2198 0.5000 0.4396
Zr4 0.6698 0.0000 0.3396
Zr5 0.8839 0.5000 0.7679

Calculated values
The total magnetization is 0.00 μB/f.u.

If we sort the structures by their calculated energies, the order from most to least stable is <one>, <two>.

<one>
## Ho3Mg (meta-GGA SCAN)

Data for Ho3Mg at its PBEsol-relaxed geometry.

Unit cell a=3.4694 b=3.4694 c=9.1985 alpha=90.00 beta=90.00 gamma=90.00
Positions (direct):
Ho1 0.0000 0.0000 0.5000
Ho2 0.5000 0.5000 0.2412
Mg1 0.0000 0.0000 0.0000
Ho3 0.5000 0.5000 0.7588

Calculated values
The total magnetization is 0.02 μB/f.u.

<two>
## Ho3Mg (meta-GGA SCAN)

Data for Ho3Mg at its PBEsol-relaxed geometry.

Unit cell a=5.4237 b=6.8675 c=6.8675 alpha=120.00 beta=90.00 gamma=90.00
Positions (direct):
Mg1 0.2500 0.6667 0.3333
Ho1 0.2500 0.6609 0.8304
Ho2 0.2500 0.1696 0.8304
Ho3 0.7500 0.3391 0.1696
Ho4 0.2500 0.1696 0.3391
Mg2 0.7500 0.3333 0.6667
Ho5 0.7500 0.8304 0.1696
Ho6 0.7500 0.8304 0.6609

Calculated values
The total magnetization is 0.08 μB/f.u.

If we sort the structures by their calculated energies, the order from most to least stable is <one>, <two>.

<one>
## Nd3Ho (meta-GGA SCAN)

Data for Nd3Ho at its PBEsol-relaxed geometry.

Unit cell a=5.7717 b=7.1818 c=7.1818 alpha=120.00 beta=90.00 gamma=90.00
Positions (direct):
Ho1 0.7500 0.3333 0.6667
Nd1 0.2500 0.6658 0.8329
Nd2 0.2500 0.1671 0.8329
Nd3 0.7500 0.3342 0.1671
Nd4 0.7500 0.8329 0.6658
Ho2 0.2500 0.6667 0.3333
Nd5 0.7500 0.8329 0.1671
Nd6 0.2500 0.1671 0.3342

Calculated values
The total magnetization is 0.00 μB/f.u.

<two>
## Nd3Ho (meta-GGA SCAN)

Data for Nd3Ho at its PBEsol-relaxed geometry.

Unit cell a=5.0422 b=5.0422 c=6.1697 alpha=114.20 beta=114.20 gamma=89.99
Positions (direct):
Nd1 0.7501 0.2499 0.5000
Nd2 0.2499 0.7501 0.5000
Nd3 0.5000 0.5000 0.0000
Ho1 0.0000 0.0000 0.0000

Calculated values
The total magnetization is 0.00 μB/f.u.

If we sort the structures by their calculated energies, the order from most to least stable is <two>, <one>.